No. 1
VASP calculation (GGA-PBE) on a relaxed BeZn2In crystal.

Values from the calculation:
VASP energy (Ha/atom): -0.06761

Cell lengths 4.512, 4.512, 4.512 Å; angles 60.00, 60.00, 60.00 degrees
Fractional coordinates of all 4 atoms:
Be 0.000 0.000 0.000
In 0.250 0.250 0.250
Zn 0.500 0.500 0.500
Zn 0.750 0.750 0.750

=====

No. 2
VASP calculation (GGA-PBE) on a relaxed ZrBe2In crystal.

Values from the calculation:
VASP energy (Ha/atom): -0.15650

Cell lengths 4.518, 4.518, 4.518 Å; angles 60.00, 60.00, 60.00 degrees
Fractional coordinates of all 4 atoms:
Be 0.000 0.000 0.000
Be 0.750 0.750 0.750
In 0.500 0.500 0.500
Zr 0.250 0.250 0.250

=====

No. 3
VASP calculation (GGA-PBE) on a relaxed ZrBeIn2 crystal.

Values from the calculation:
VASP energy (Ha/atom): -0.14822

Cell lengths 4.853, 4.853, 4.853 Å; angles 60.00, 60.00, 60.00 degrees
Fractional coordinates of all 4 atoms:
Be 0.500 0.500 0.500
In 0.000 0.000 0.000
In 0.750 0.750 0.750
Zr 0.250 0.250 0.250

=====

- Among the records above, which one has the highest VASP energy?
  BeZn2In